Record 1
# NbTcB2

A relaxed NbTcB2 crystal (PBE-GGA, Alexandria via LeMat-Bulk).

Structure (POSCAR):
```
NbTcB2
1.0
3.056 0.000 0.000
0.000 6.519 0.000
0.000 0.000 8.867
Nb B Tc
4 8 4
Direct
0.750 0.869 0.117
0.750 0.369 0.383
0.250 0.131 0.883
0.250 0.631 0.617
0.250 0.755 0.919
0.750 0.844 0.832
0.750 0.344 0.668
0.250 0.156 0.168
0.750 0.245 0.081
0.750 0.745 0.419
0.250 0.656 0.332
0.250 0.255 0.581
0.250 0.486 0.118
0.750 0.014 0.618
0.750 0.514 0.882
0.250 0.986 0.382
```

Computed properties:
Spin magnetization   0.00 μB/f.u.
DFT formation energy   -0.495 eV per atom
ΔE to the lowest computed polymorph   65 meV/atom
Symmetry   Pnma (62)
D(E_F)   6.5 states/eV/cell

---

Record 2
# NbTcB2

A relaxed NbTcB2 crystal (PBE-GGA, Alexandria via LeMat-Bulk).

Structure (POSCAR):
```
NbTcB2
1.0
-2.895 1.324 0.337
-2.473 -1.103 -1.708
-2.888 -3.286 3.305
Nb Tc B
1 1 2
Direct
0.500 0.500 0.500
0.000 0.000 0.000
0.745 0.745 0.764
0.255 0.255 0.236
```

Computed properties:
Spin magnetization   0.00 μB/f.u.
DFT formation energy   -0.317 eV per atom
ΔE to the lowest computed polymorph   243 meV/atom
Symmetry   R-3m (166)
D(E_F)   3.1 states/eV/cell

---

Record 3
# NbTcB2

A relaxed NbTcB2 crystal (PBE-GGA, Alexandria via LeMat-Bulk).

Structure (POSCAR):
```
NbTcB2
1.0
-3.661 2.679 -1.175
0.345 -1.474 -4.435
-4.912 -3.374 -1.736
B Nb Tc
4 2 2
Direct
0.375 0.337 0.750
0.875 0.913 0.750
0.663 0.125 0.250
0.087 0.625 0.250
0.500 0.500 0.000
0.250 0.750 0.500
0.000 0.000 0.000
0.750 0.250 0.500
```

Computed properties:
Spin magnetization   0.00 μB/f.u.
DFT formation energy   0.605 eV per atom
ΔE to the lowest computed polymorph   1165 meV/atom
Symmetry   I-42d (122)
D(E_F)   5.9 states/eV/cell

---

Record 4
# Nb2TcB

A relaxed Nb2TcB crystal (PBE-GGA, Alexandria via LeMat-Bulk).

Structure (POSCAR):
```
Nb2TcB
1.0
-5.488 1.545 5.037
-2.801 -7.016 -0.900
-2.857 -3.458 3.693
Nb Tc B
4 2 2
Direct
0.242 0.625 0.250
0.508 0.125 0.250
0.375 0.492 0.750
0.875 0.758 0.750
0.750 0.250 0.500
0.000 0.000 0.000
0.250 0.750 0.500
0.500 0.500 0.000
```

Computed properties:
Spin magnetization   0.00 μB/f.u.
DFT formation energy   0.207 eV per atom
Symmetry   I-42d (122)
D(E_F)   4.2 states/eV/cell